Arrangement 1

This record from OQMD via LeMat-Bulk describes AgGeSO after structural relaxation. The functional is GGA-PBE.

Calculated values
- Space-group type: No. 129

Structure (POSCAR):
```
AgGeSO
1.0
3.969 0.000 0.000
0.000 3.969 0.000
0.000 0.000 8.722
O Ge S Ag
2 2 2 2
direct
0.750 0.250 0.500
0.250 0.750 0.500
0.750 0.750 0.576
0.250 0.250 0.424
0.250 0.250 0.165
0.750 0.750 0.835
0.250 0.250 0.849
0.750 0.750 0.151
```


Arrangement 2

This record from OQMD via LeMat-Bulk describes AgGeSO after structural relaxation. The functional is GGA-PBE.

Calculated values
- Space-group type: No. 129

Structure (POSCAR):
```
AgGeSO
1.0
-2.028 1.774 -2.779
-3.135 -0.027 2.270
2.366 7.966 3.360
Ge S Ag O
2 2 2 2
direct
0.250 0.750 0.000
0.750 0.250 0.000
0.750 0.750 0.684
0.250 0.250 0.316
0.750 0.750 0.246
0.250 0.250 0.754
0.250 0.250 0.484
0.750 0.750 0.516
```


Q: Which of them is the least stable? A: arrangement 2.